# 1
# ZrMnSe4 | Alexandria | PBE | optimized geometry
data_ZrMnSe4
_cell_length_a 7.634
_cell_length_b 7.634
_cell_length_c 6.258
_cell_angle_alpha 113.76
_cell_angle_beta 113.76
_cell_angle_gamma 27.85
_space_group_name_H-M_alt 'P 1'
_space_group_IT_number 1
loop_
_space_group_symop_operation_xyz
'x,y,z'
loop_
_atom_site_label
_atom_site_type_symbol
_atom_site_fract_x
_atom_site_fract_y
_atom_site_fract_z
Zr1 Zr 0.000 0.000 0.000
Mn1 Mn 0.500 0.500 0.500
Se1 Se 0.111 0.111 0.467
Se2 Se 0.382 0.382 0.069
Se3 Se 0.618 0.618 0.931
Se4 Se 0.889 0.889 0.533
# symmetry	No. 12
# total energy	-6.117	eV/atom
# energy relative to the elements, uncorrected	-5.0	eV/f.u.
# spin magnetization	3.0	μB per formula unit
# DOS at the Fermi energy	0.2028	states/eV/atom

=====

# 2
# Tb5InHg4 | Alexandria | PBE | optimized geometry
data_Tb5InHg4
_cell_length_a 3.740
_cell_length_b 3.740
_cell_length_c 18.790
_cell_angle_alpha 90.00
_cell_angle_beta 90.00
_cell_angle_gamma 90.00
_space_group_name_H-M_alt 'P 1'
_space_group_IT_number 1
loop_
_space_group_symop_operation_xyz
'x,y,z'
loop_
_atom_site_label
_atom_site_type_symbol
_atom_site_fract_x
_atom_site_fract_y
_atom_site_fract_z
Tb1 Tb 0.000 0.000 0.000
Tb2 Tb 0.000 0.000 0.198
Tb3 Tb 0.000 0.000 0.396
Tb4 Tb 0.000 0.000 0.604
Tb5 Tb 0.000 0.000 0.802
In1 In 0.500 0.500 0.500
Hg1 Hg 0.500 0.500 0.100
Hg2 Hg 0.500 0.500 0.298
Hg3 Hg 0.500 0.500 0.702
Hg4 Hg 0.500 0.500 0.900
# formation energy	-0.480	eV/atom
# symmetry	No. 123
# total energy	-3.189	eV/atom
# spin magnetization	0.5	μB per formula unit
# DOS at the Fermi energy	1.0392	states/eV/atom

=====

# 3
# Pa2TaBi | Alexandria | PBE | optimized geometry
data_Pa2TaBi
_cell_length_a 7.551
_cell_length_b 7.551
_cell_length_c 7.551
_cell_angle_alpha 32.96
_cell_angle_beta 32.96
_cell_angle_gamma 32.96
_space_group_name_H-M_alt 'P 1'
_space_group_IT_number 1
loop_
_space_group_symop_operation_xyz
'x,y,z'
loop_
_atom_site_label
_atom_site_type_symbol
_atom_site_fract_x
_atom_site_fract_y
_atom_site_fract_z
Pa1 Pa 0.234 0.234 0.234
Pa2 Pa 0.766 0.766 0.766
Ta1 Ta 0.500 0.500 0.500
Bi1 Bi 0.000 0.000 0.000
# formation energy	0.516	eV/atom
# symmetry	No. 166
# total energy	-8.165	eV/atom
# relative energy among the computed polymorphs	378	meV/atom
# spin magnetization	0.0	μB per formula unit
# DOS at the Fermi energy	1.9760	states/eV/atom